# 1
Entry from the Open Quantum Materials Database: a relaxed Hf8As2C3N3 crystal (PBE).

It has space group P-3m1 (No. 164), with a = 3.3252 Å, b = 3.3252 Å, c = 22.9814 Å, α = 90.00°, β = 90.00° and γ = 120.00°. The inequivalent atoms are Hf at (0.0000, 0.0000, 0.1637), Hf at (0.0000, 0.0000, 0.3318), Hf at (0.3333, 0.6667, 0.5560), Hf at (0.3333, 0.6667, 0.9428), As at (0.3333, 0.6667, 0.7533), C at (0.0000, 0.0000, 0.5000), C at (0.3333, 0.6667, 0.3826), N at (0.0000, 0.0000, 0.0000) and N at (0.3333, 0.6667, 0.1102).

---

# 2
Entry from the Open Quantum Materials Database: a relaxed Er2Cd crystal (PBE).

The value obtained for the calculated formation energy is 0.81 eV per formula unit.

It has space group Fd-3m (No. 227, origin choice 2), with a = 8.800 Å, b = 8.800 Å, c = 8.800 Å, α = 90.00°, β = 90.00° and γ = 90.00°. The inequivalent atoms are Er at (0.000, 0.000, 0.000) and Cd at (0.125, 0.125, 0.625).

---

# 3
Entry from the Open Quantum Materials Database: a relaxed LuScNiAs crystal (PBE).

The excess energy over the best structure of this formula in the dataset comes out at 0.000 eV/atom.

It has space group F-43m (No. 216), with a = 6.604 Å, b = 6.604 Å, c = 6.604 Å, α = 90.00°, β = 90.00° and γ = 90.00°. The inequivalent atoms are Lu at (0.000, 0.000, 0.000), Sc at (0.250, 0.250, 0.250), Ni at (0.250, 0.250, 0.750) and As at (0.000, 0.000, 0.500).

---

# 4
Entry from the Open Quantum Materials Database: a relaxed Pr2Ta3Se2O8 crystal (PBE).

It has space group Pnnm (No. 58), with a = 9.931 Å, b = 11.845 Å, c = 7.642 Å, α = 90.00°, β = 90.00° and γ = 90.00°. The inequivalent atoms are Pr at (0.210, 0.157, 0.000), Pr at (0.227, 0.149, 0.500), Ta at (0.000, 0.500, 0.286), Ta at (0.136, 0.916, 0.250), Se at (0.019, 0.335, 0.500), Se at (0.024, 0.361, 0.000), O at (0.057, 0.104, 0.255), O at (0.134, 0.948, 0.000), O at (0.150, 0.950, 0.500), O at (0.197, 0.524, 0.265) and O at (0.214, 0.774, 0.248).

---

# 5
Entry from the Open Quantum Materials Database: a relaxed Y2Sn3W4C3 crystal (PBE).

It has space group C2/c (No. 15), with a = 10.004 Å, b = 5.817 Å, c = 14.184 Å, α = 90.00°, β = 103.19° and γ = 90.00°. The inequivalent atoms are Y at (0.044, 0.079, 0.392), Sn at (0.000, 0.499, 0.250), Sn at (0.209, 0.126, 0.750), W at (0.105, 0.406, 0.571), W at (0.233, 0.423, 0.930), C at (0.087, 0.260, 0.000) and C at (0.250, 0.250, 0.500).

---

# 6
Entry from the Open Quantum Materials Database: a relaxed RbYPd crystal (PBE).

It has space group F-43m (No. 216), with a = 7.037 Å, b = 7.037 Å, c = 7.037 Å, α = 90.00°, β = 90.00° and γ = 90.00°. The inequivalent atoms are Rb at (0.000, 0.000, 0.000), Y at (0.250, 0.250, 0.250) and Pd at (0.250, 0.250, 0.750).

---

# 7
Entry from the Open Quantum Materials Database: a relaxed NaSrTbS3 crystal (PBE).

The excess energy over the best structure of this formula in the dataset comes out at 0.164 eV/atom.

It has space group Cmcm (No. 63), with a = 4.159 Å, b = 13.382 Å, c = 10.440 Å, α = 90.00°, β = 90.00° and γ = 90.00°. The inequivalent atoms are Na at (0.000, 0.020, 0.250), Sr at (0.000, 0.248, 0.750), Tb at (0.000, 0.500, 0.000), S at (0.000, 0.135, 0.054) and S at (0.000, 0.411, 0.250).

---

# 8
Entry from the Open Quantum Materials Database: a relaxed ZnBIr2 crystal (PBE).

The excess energy over the best structure of this formula in the dataset comes out at 0.000 eV/atom.

It has space group Cmcm (No. 63), with a = 2.884 Å, b = 12.113 Å, c = 5.730 Å, α = 90.00°, β = 90.00° and γ = 90.00°. The inequivalent atoms are Zn at (0.000, 0.002, 0.250), B at (0.000, 0.213, 0.750) and Ir at (0.000, 0.352, 0.502).

---

It is found that the volume values, taken in the order of the records, are 13.754; 28.397; 18.004; 14.983; 16.741; 29.043; 24.214; 12.513 Å³ per atom.
It is found that the E_tot values, taken in the order of the records, are -10.079; -3.072; -5.383; -8.837; -8.825; -3.279; -5.054; -6.678 eV/atom.